Entry 1:
Here is a geometry-optimized LaHg3Au structure from the Alexandria database. Energies are from GGA-PBE.

Summary:
Energy above the lowest structure with this stoichiometry: 0.00 eV/f.u.
DOS(E_F): 0.538 states/eV/atom
DFT formation energy: -397.7 meV per atom

Cell lengths 5.1910, 10.1080, 9.5874 Å; angles 90.00, 90.00, 90.00 degrees
With the nearest neighbours (Å) after each atom.
Fractional positions:
Hg 0.7500 0.4253 0.8855  1 Au 2.91, 2 Hg 2.92-3.10
Hg 0.2500 0.4257 0.6453  2 Au 2.79-2.84, 1 Hg 2.98
Hg 0.7500 0.9253 0.6145  1 Au 2.91, 2 Hg 2.92-3.10
Hg 0.7500 0.1216 0.8381  5 Hg 2.92-3.27, 2 Au 3.02
Hg 0.7500 0.0743 0.1453  2 Au 2.79-2.84, 1 Hg 2.98
Hg 0.2500 0.0747 0.3855  1 Au 2.91, 2 Hg 2.92-3.10
Hg 0.2500 0.5747 0.1145  1 Au 2.91, 2 Hg 2.92-3.10
Hg 0.7500 0.6216 0.6619  5 Hg 2.92-3.27, 2 Au 3.02
Hg 0.7500 0.5743 0.3547  2 Au 2.79-2.84, 1 Hg 2.98
Hg 0.2500 0.9257 0.8547  2 Au 2.79-2.84, 1 Hg 2.98
Hg 0.2500 0.3784 0.3381  5 Hg 2.92-3.27, 2 Au 3.02
Hg 0.2500 0.8784 0.1619  5 Hg 2.92-3.27, 2 Au 3.02
La 0.7500 0.2502 0.5070  3 Au 3.25-3.31, 9 Hg 3.32-3.59
La 0.2500 0.7498 0.4930  3 Au 3.25-3.31, 9 Hg 3.32-3.59
La 0.2500 0.2498 0.0070  3 Au 3.25-3.31, 9 Hg 3.32-3.59
La 0.7500 0.7502 0.9930  3 Au 3.25-3.31, 9 Hg 3.32-3.59
Au 0.2500 0.6467 0.8203  5 Hg 2.79-3.02
Au 0.7500 0.8533 0.3203  5 Hg 2.79-3.02
Au 0.7500 0.3533 0.1797  5 Hg 2.79-3.02
Au 0.2500 0.1467 0.6797  5 Hg 2.79-3.02

***

Entry 2:
Here is a geometry-optimized La3HgAu structure from the Alexandria database. Energies are from GGA-PBE.

Summary:
Energy above the lowest structure with this stoichiometry: 0.61 eV/f.u.
DOS(E_F): 1.037 states/eV/atom
DFT formation energy: -375.5 meV per atom

Cell lengths 4.1803, 9.3861, 9.3863 Å; angles 66.82, 90.00, 90.00 degrees
With the nearest neighbours (Å) after each atom.
Fractional positions:
La 0.8636 0.9991 0.6585  2 Au 3.10, 2 Hg 3.37-3.38, 1 La 3.40
La 0.8628 0.6062 0.0515  2 Au 3.10, 2 Hg 3.37-3.38, 1 La 3.40
La 0.8628 0.7821 0.4414  2 Au 3.10, 2 Hg 3.37-3.38, 1 La 3.40
La 0.3634 0.0342 0.0865  2 Au 2.94, 2 Hg 3.26
La 0.3634 0.3542 0.4065  2 Au 2.94, 2 Hg 3.26
La 0.8636 0.3892 0.8343  2 Au 3.10, 2 Hg 3.37, 1 La 3.40
Au 0.3627 0.6942 0.2464  6 La 2.94-3.10
Au 0.3636 0.1941 0.7465  6 La 2.94-3.10
Hg 0.3632 0.6941 0.7464  8 La 3.37-3.38
Hg 0.8634 0.1941 0.2465  8 La 3.26-3.57

***

| no. | total energy (eV per atom) | volume (A^3/atom) | total magnetization (μB/f.u.) |
| --- | --- | --- | --- |
| 1 | -2.220 | 25.15 | 0.0 |
| 2 | -4.048 | 33.86 | 0.0 |